1.
Entry from the Alexandria database: crystalline CdGa2Os2 at its relaxed geometry (GGA-PBEsol).

a = 3.7891 Å, b = 3.7891 Å, c = 11.6382 Å
α = 90.00°, β = 90.00°, γ = 90.00°
With the nearest neighbours (Å) after each atom.
Space group I4/mmm (No. 139)
Inequivalent atoms, fractional coordinates:
1 Cd 0.0000 0.0000 0.0000 x2  8 Os 2.95
2 Ga 0.0000 0.5000 0.2500 x4  4 Os 2.53, 4 Ga 2.68
3 Os 0.0000 0.0000 0.3944 x4  1 Os 2.46, 4 Ga 2.53

Computed properties:
The energy of formation from the pure elements is 2.2 eV/f.u.

2.
Entry from the Alexandria database: crystalline YCd2GaOs at its relaxed geometry (GGA-PBEsol).

a = 4.7767 Å, b = 4.7767 Å, c = 4.7543 Å
α = 90.00°, β = 90.00°, γ = 90.00°
With the nearest neighbours (Å) after each atom.
Space group P4/mmm (No. 123)
Inequivalent atoms, fractional coordinates:
1 Y 0.0000 0.0000 0.0000 x1  8 Cd 3.37, 4 Os 3.38
2 Cd 0.0000 0.5000 0.5000 x2  2 Ga 2.39
3 Ga 0.5000 0.5000 0.5000 x1  2 Os 2.38, 4 Cd 2.39
4 Os 0.5000 0.5000 0.0000 x1  2 Ga 2.38

Computed properties:
The energy of formation from the pure elements is 2.7 eV/f.u.

3.
Entry from the Alexandria database: crystalline ZrCdGa2Os at its relaxed geometry (GGA-PBEsol).

a = 4.6231 Å, b = 4.6231 Å, c = 5.0318 Å
α = 90.00°, β = 90.00°, γ = 90.00°
With the nearest neighbours (Å) after each atom.
Space group P4/mmm (No. 123)
Inequivalent atoms, fractional coordinates:
1 Zr 0.0000 0.0000 0.0000 x1  4 Cd 3.27, 8 Ga 3.42
2 Cd 0.5000 0.5000 0.0000 x1  2 Os 2.52
3 Ga 0.0000 0.5000 0.5000 x2  2 Os 2.31
4 Os 0.5000 0.5000 0.5000 x1  4 Ga 2.31, 2 Cd 2.52

Computed properties:
The energy of formation from the pure elements is 2.6 eV/f.u.

4.
Entry from the Alexandria database: crystalline Cd2GaP2 at its relaxed geometry (GGA-PBEsol).

a = 3.3433 Å, b = 3.3433 Å, c = 17.0102 Å
α = 90.00°, β = 90.00°, γ = 90.00°
With the nearest neighbours (Å) after each atom.
Space group I4/mmm (No. 139)
Inequivalent atoms, fractional coordinates:
1 Cd 0.0000 0.0000 0.1033 x4  4 Ga 2.95, 4 P 3.00
2 Ga 0.0000 0.0000 0.5000 x2  8 Cd 2.95
3 P 0.0000 0.5000 0.2500 x4  4 P 2.36

Computed properties:
The energy of formation from the pure elements is 0.9 eV/f.u.

5.
Entry from the Alexandria database: crystalline Cd2Ga2Pb at its relaxed geometry (GGA-PBEsol).

a = 4.1192 Å, b = 4.1192 Å, c = 13.1618 Å
α = 90.00°, β = 90.00°, γ = 90.00°
With the nearest neighbours (Å) after each atom.
Space group I4/mmm (No. 139)
Inequivalent atoms, fractional coordinates:
1 Cd 0.0000 0.0000 0.1064 x4  4 Ga 2.80, 1 Cd 2.80
2 Ga 0.0000 0.5000 0.2500 x4  4 Cd 2.80, 4 Ga 2.91
3 Pb 0.0000 0.0000 0.5000 x2  8 Cd 3.23

Computed properties:
The energy of formation from the pure elements is 0.4 eV/f.u.

6.
Entry from the Alexandria database: crystalline Cd2Ga2Pb at its relaxed geometry (GGA-PBEsol).

a = 8.3222 Å, b = 8.3222 Å, c = 3.1843 Å
α = 90.00°, β = 90.00°, γ = 90.00°
With the nearest neighbours (Å) after each atom.
Space group P4/mbm (No. 127)
Inequivalent atoms, fractional coordinates:
1 Cd 0.1303 0.3697 0.0000 x4  6 Ga 2.87-2.96, 3 Cd 3.07-3.18
2 Ga 0.1673 0.6673 0.5000 x4  6 Cd 2.87-2.96, 2 Ga 3.18
3 Pb 0.0000 0.0000 0.0000 x2  2 Pb 3.18, 4 Cd 3.26, 8 Ga 3.48

Computed properties:
The energy of formation from the pure elements is 0.4 eV/f.u.

7.
Entry from the Alexandria database: crystalline CdGa2Pb2 at its relaxed geometry (GGA-PBEsol).

a = 7.1729 Å, b = 7.1729 Å, c = 4.6236 Å
α = 90.00°, β = 90.00°, γ = 90.00°
With the nearest neighbours (Å) after each atom.
Space group P4/mbm (No. 127)
Inequivalent atoms, fractional coordinates:
1 Cd 0.0000 0.0000 0.0000 x2  4 Ga 2.82
2 Ga 0.1280 0.3720 0.0000 x4  1 Ga 2.60, 2 Cd 2.82
3 Pb 0.1814 0.6814 0.5000 x4  6 Ga 3.01-3.23

Computed properties:
The energy of formation from the pure elements is 0.3 eV/f.u.

8.
Entry from the Alexandria database: crystalline CdGa2Pb2 at its relaxed geometry (GGA-PBEsol).

a = 3.7716 Å, b = 3.7716 Å, c = 17.1652 Å
α = 90.00°, β = 90.00°, γ = 90.00°
With the nearest neighbours (Å) after each atom.
Space group I4/mmm (No. 139)
Inequivalent atoms, fractional coordinates:
1 Cd 0.0000 0.0000 0.0000 x2  8 Pb 3.25
2 Ga 0.0000 0.5000 0.2500 x4  4 Ga 2.67
3 Pb 0.0000 0.0000 0.3921 x4  4 Ga 3.08, 4 Cd 3.25

Computed properties:
The energy of formation from the pure elements is 0.5 eV/f.u.

The evaluated size of the total moment for the records listed, in turn: 0.000, 0.000, 0.032, 0.000, 0.000, 0.000, 0.000, 0.000 μB/atom.